# 1
Below is Pu2Te4Au after structural relaxation, with properties calculated at the GGA-PBE level.

Structure (POSCAR):
```
Pu2Te4Au
1.0
7.348 0.000 0.000
0.000 6.208 0.000
-1.880 0.000 9.307
Pu Te Au
4 8 2
direct
0.197 0.250 0.389
0.232 0.250 0.938
0.768 0.750 0.062
0.803 0.750 0.611
0.040 0.750 0.370
0.096 0.750 0.897
0.457 0.508 0.210
0.457 0.992 0.210
0.543 0.008 0.790
0.543 0.492 0.790
0.904 0.250 0.103
0.960 0.250 0.630
0.336 0.750 0.579
0.664 0.250 0.421
```

## Properties
Energy relative to the lowest polymorph listed for this composition (meV per atom): 37
Formation energy (no corrections) (eV/atom): -0.64

---

# 2
Below is PuTe2Au after structural relaxation, with properties calculated at the GGA-PBE level.

Structure (POSCAR):
```
PuTe2Au
1.0
2.325 1.342 8.391
-2.325 1.342 8.391
0.000 -2.684 8.391
Pu Te Au
1 2 1
direct
0.000 0.000 0.000
0.397 0.397 0.397
0.603 0.603 0.603
0.500 0.500 0.500
```

## Properties
Formation energy (no corrections) (eV/atom): -0.54

---

# 3
Below is PuTeAu2 after structural relaxation, with properties calculated at the GGA-PBE level.

Structure (POSCAR):
```
PuTeAu2
1.0
0.000 3.609 3.609
3.609 0.000 3.609
3.609 3.609 0.000
Pu Te Au
1 1 2
direct
0.000 0.000 0.000
0.500 0.500 0.500
0.250 0.250 0.250
0.750 0.750 0.750
```

## Properties
Formation energy (no corrections) (eV/atom): -0.34

---

# 4
Below is Pu2TeAu after structural relaxation, with properties calculated at the GGA-PBE level.

Structure (POSCAR):
```
Pu2TeAu
1.0
0.000 3.718 3.718
3.718 0.000 3.718
3.718 3.718 0.000
Pu Te Au
2 1 1
direct
0.250 0.250 0.250
0.750 0.750 0.750
0.000 0.000 0.000
0.500 0.500 0.500
```

## Properties
Energy relative to the lowest polymorph listed for this composition (meV per atom): 22
Formation energy (no corrections) (eV/atom): -0.63

---

# 5
Below is Pu2Te4Au after structural relaxation, with properties calculated at the GGA-PBE level.

Structure (POSCAR):
```
Pu2Te4Au
1.0
7.749 0.000 0.000
0.000 6.273 0.000
-2.449 0.000 8.406
Pu Te Au
4 8 2
direct
0.219 0.250 0.433
0.262 0.250 0.932
0.738 0.750 0.068
0.781 0.750 0.567
0.067 0.750 0.919
0.070 0.750 0.363
0.472 0.507 0.249
0.472 0.993 0.249
0.528 0.007 0.751
0.528 0.493 0.751
0.930 0.250 0.637
0.933 0.250 0.081
0.219 0.750 0.679
0.781 0.250 0.321
```

## Properties
Energy relative to the lowest polymorph listed for this composition (meV per atom): 0
Formation energy (no corrections) (eV/atom): -0.68

---

# 6
Below is PuTe2Au after structural relaxation, with properties calculated at the GGA-PBE level.

Structure (POSCAR):
```
PuTe2Au
1.0
4.538 0.000 0.000
0.000 8.215 0.000
-0.802 0.000 6.736
Pu Te Au
2 4 2
direct
0.212 0.250 0.060
0.788 0.750 0.940
0.249 0.530 0.752
0.249 0.970 0.752
0.751 0.030 0.248
0.751 0.470 0.248
0.079 0.250 0.532
0.921 0.750 0.468
```

## Properties
Formation energy (no corrections) (eV/atom): -0.47

---

# 7
Below is Pu6TeAu5 after structural relaxation, with properties calculated at the GGA-PBE level.

Structure (POSCAR):
```
Pu6TeAu5
1.0
8.546 -2.561 0.000
8.546 2.561 0.000
-3.290 0.000 6.776
Pu Te Au
6 1 5
direct
0.011 0.011 0.252
0.327 0.327 0.578
0.333 0.333 0.080
0.667 0.667 0.920
0.673 0.673 0.422
0.989 0.989 0.748
0.500 0.500 0.500
0.166 0.166 0.152
0.168 0.168 0.681
0.500 0.500 0.000
0.832 0.832 0.319
0.834 0.834 0.848
```

## Properties
Formation energy (no corrections) (eV/atom): -0.45

---

# 8
Below is PuTe6Au2 after structural relaxation, with properties calculated at the GGA-PBE level.

Structure (POSCAR):
```
PuTe6Au2
1.0
6.081 -5.013 0.000
6.081 5.013 0.000
-1.183 0.000 9.476
Pu Te Au
2 12 4
direct
0.049 0.951 0.750
0.951 0.049 0.250
0.071 0.580 0.833
0.102 0.764 0.454
0.236 0.898 0.046
0.352 0.410 0.427
0.410 0.352 0.927
0.420 0.929 0.667
0.580 0.071 0.333
0.590 0.648 0.073
0.648 0.590 0.573
0.764 0.102 0.954
0.898 0.236 0.546
0.929 0.420 0.167
0.228 0.274 0.661
0.274 0.228 0.161
0.726 0.772 0.839
0.772 0.726 0.339
```

## Properties
Formation energy (no corrections) (eV/atom): -0.18

---

# 9
Below is Pu3Te12Au5 after structural relaxation, with properties calculated at the GGA-PBE level.

Structure (POSCAR):
```
Pu3Te12Au5
1.0
-8.575 8.575 8.575
8.575 -8.575 8.575
8.575 8.575 -8.575
Pu Te Au
12 48 20
direct
0.125 0.250 0.375
0.125 0.375 0.750
0.250 0.375 0.125
0.250 0.875 0.625
0.375 0.125 0.250
0.375 0.750 0.125
0.625 0.250 0.875
0.625 0.875 0.750
0.750 0.125 0.375
0.750 0.625 0.875
0.875 0.625 0.250
0.875 0.750 0.625
0.045 0.216 0.131
0.045 0.329 0.914
0.085 0.716 0.671
0.085 0.869 0.414
0.086 0.631 0.415
0.086 0.955 0.671
0.131 0.045 0.216
0.131 0.586 0.915
0.171 0.216 0.585
0.171 0.455 0.586
0.216 0.131 0.045
0.216 0.585 0.171
0.284 0.329 0.915
0.284 0.455 0.369
0.329 0.914 0.045
0.329 0.915 0.284
0.369 0.284 0.455
0.369 0.585 0.914
0.414 0.085 0.869
0.414 0.829 0.545
0.415 0.086 0.631
0.415 0.829 0.784
0.455 0.369 0.284
0.455 0.586 0.171
0.545 0.414 0.829
0.545 0.631 0.716
0.585 0.171 0.216
0.585 0.914 0.369
0.586 0.171 0.455
0.586 0.915 0.131
0.631 0.415 0.086
0.631 0.716 0.545
0.671 0.085 0.716
0.671 0.086 0.955
0.716 0.545 0.631
0.716 0.671 0.085
0.784 0.415 0.829
0.784 0.869 0.955
0.829 0.545 0.414
0.829 0.784 0.415
0.869 0.414 0.085
0.869 0.955 0.784
0.914 0.045 0.329
0.914 0.369 0.585
0.915 0.131 0.586
0.915 0.284 0.329
0.955 0.671 0.086
0.955 0.784 0.869
0.000 0.000 0.000
0.000 0.000 0.500
0.000 0.500 0.000
0.000 0.500 0.500
0.125 0.750 0.875
0.125 0.875 0.250
0.250 0.125 0.875
0.250 0.625 0.375
0.375 0.250 0.625
0.375 0.625 0.750
0.500 0.000 0.000
0.500 0.000 0.500
0.500 0.500 0.000
0.500 0.500 0.500
0.625 0.375 0.250
0.625 0.750 0.375
0.750 0.375 0.625
0.750 0.875 0.125
0.875 0.125 0.750
0.875 0.250 0.125
```

## Properties
Formation energy (no corrections) (eV/atom): -0.32

---

# 10
Below is Pu2TeAu after structural relaxation, with properties calculated at the GGA-PBE level.

Structure (POSCAR):
```
Pu2TeAu
1.0
2.132 1.231 7.489
-2.132 1.231 7.489
0.000 -2.462 7.489
Pu Te Au
2 1 1
direct
0.244 0.244 0.244
0.756 0.756 0.756
0.000 0.000 0.000
0.500 0.500 0.500
```

## Properties
Energy relative to the lowest polymorph listed for this composition (meV per atom): 68
Formation energy (no corrections) (eV/atom): -0.59

---

# 11
Below is PuTe2Au after structural relaxation, with properties calculated at the GGA-PBE level.

Structure (POSCAR):
```
PuTe2Au
1.0
2.153 1.243 7.129
-2.153 1.243 7.129
0.000 -2.486 7.129
Pu Te Au
1 2 1
direct
0.000 0.000 0.000
0.575 0.575 0.575
0.754 0.754 0.754
0.165 0.165 0.165
```

## Properties
Formation energy (no corrections) (eV/atom): -0.44

---

# 12
Below is PuTeAu4 after structural relaxation, with properties calculated at the GGA-PBE level.

Structure (POSCAR):
```
PuTeAu4
1.0
0.000 4.026 4.026
4.026 0.000 4.026
4.026 4.026 0.000
Pu Te Au
1 1 4
direct
0.000 0.000 0.000
0.250 0.250 0.250
0.124 0.625 0.625
0.625 0.124 0.625
0.625 0.625 0.124
0.625 0.625 0.625
```

## Properties
Formation energy (no corrections) (eV/atom): -0.29

---

# 13
Below is PuTe2Au after structural relaxation, with properties calculated at the GGA-PBE level.

Structure (POSCAR):
```
PuTe2Au
1.0
6.897 0.000 0.000
0.000 4.191 0.000
0.000 0.000 14.793
Pu Te Au
4 8 4
direct
0.004 0.250 0.152
0.496 0.750 0.652
0.504 0.250 0.348
0.996 0.750 0.848
0.182 0.250 0.709
0.230 0.250 0.965
0.270 0.750 0.465
0.318 0.750 0.209
0.682 0.250 0.791
0.730 0.250 0.535
0.770 0.750 0.035
0.818 0.750 0.291
0.030 0.250 0.385
0.470 0.750 0.885
0.530 0.250 0.115
0.970 0.750 0.615
```

## Properties
Formation energy (no corrections) (eV/atom): -0.61

---

# 14
Below is PuTe2Au after structural relaxation, with properties calculated at the GGA-PBE level.

Structure (POSCAR):
```
PuTe2Au
1.0
4.961 0.000 0.000
0.000 4.961 0.000
0.000 0.000 3.992
Pu Te Au
1 2 1
direct
0.000 0.000 0.000
0.000 0.500 0.500
0.500 0.000 0.500
0.500 0.500 0.000
```

## Properties
Formation energy (no corrections) (eV/atom): -0.55

---

# 15
Below is Pu2TeAu after structural relaxation, with properties calculated at the GGA-PBE level.

Structure (POSCAR):
```
Pu2TeAu
1.0
5.113 0.000 0.000
0.000 5.113 0.000
0.000 0.000 3.915
Pu Te Au
2 1 1
direct
0.000 0.500 0.000
0.500 0.000 0.000
0.000 0.000 0.500
0.500 0.500 0.500
```

## Properties
Energy relative to the lowest polymorph listed for this composition (meV per atom): 0
Formation energy (no corrections) (eV/atom): -0.66

---

# 16
Below is PuTh6Au2 after structural relaxation, with properties calculated at the GGA-PBE level.

Structure (POSCAR):
```
PuTh6Au2
1.0
-2.662 3.593 7.384
2.662 -3.593 7.384
2.662 3.593 -7.384
Pu Th Au
1 6 2
direct
0.000 0.000 0.000
0.088 0.835 0.253
0.240 0.500 0.740
0.418 0.165 0.253
0.582 0.835 0.747
0.760 0.500 0.260
0.912 0.165 0.747
0.334 0.334 0.000
0.666 0.666 0.000
```

---

# 17
Below is Pu2ThAu after structural relaxation, with properties calculated at the GGA-PBE level.

Structure (POSCAR):
```
Pu2ThAu
1.0
4.418 0.000 0.000
0.000 4.418 0.000
0.000 0.000 5.302
Pu Th Au
2 1 1
direct
0.000 0.500 0.000
0.500 0.000 0.000
0.000 0.000 0.500
0.500 0.500 0.500
```

## Properties
Energy relative to the lowest polymorph listed for this composition (meV per atom): 0

---

# 18
Below is PuTh2Au after structural relaxation, with properties calculated at the GGA-PBE level.

Structure (POSCAR):
```
PuTh2Au
1.0
5.470 0.000 0.000
0.000 5.470 0.000
0.000 0.000 3.524
Pu Th Au
1 2 1
direct
0.000 0.000 0.000
0.000 0.500 0.500
0.500 0.000 0.500
0.500 0.500 0.000
```

## Properties
Energy relative to the lowest polymorph listed for this composition (meV per atom): 0

---

# 19
Below is PuTh3Au7 after structural relaxation, with properties calculated at the GGA-PBE level.

Structure (POSCAR):
```
PuTh3Au7
1.0
1.952 -11.203 0.000
1.952 11.203 0.000
0.000 0.000 12.634
Pu Th Au
2 6 14
direct
0.009 0.991 0.750
0.991 0.009 0.250
0.142 0.858 0.065
0.142 0.858 0.435
0.200 0.800 0.750
0.800 0.200 0.250
0.858 0.142 0.565
0.858 0.142 0.935
0.277 0.723 0.070
0.277 0.723 0.430
0.378 0.622 0.750
0.400 0.600 0.134
0.400 0.600 0.366
0.462 0.538 0.580
0.462 0.538 0.920
0.538 0.462 0.080
0.538 0.462 0.420
0.600 0.400 0.634
0.600 0.400 0.866
0.622 0.378 0.250
0.723 0.277 0.570
0.723 0.277 0.930
```

---

# 20
Below is PuThAu after structural relaxation, with properties calculated at the GGA-PBE level.

Structure (POSCAR):
```
PuThAu
1.0
5.075 -1.727 0.000
5.075 1.727 0.000
-1.913 0.000 8.391
Pu Th Au
2 2 2
direct
0.173 0.173 0.463
0.827 0.827 0.537
0.329 0.329 0.866
0.671 0.671 0.134
0.424 0.424 0.278
0.576 0.576 0.722
```

## Properties
Energy relative to the lowest polymorph listed for this composition (meV per atom): 181

---

Record order is preserved below.
DFT total energy: -0.25736; -0.23918; -0.23338; -0.34563; -0.25870; -0.23667; -0.33952; -0.16870; -0.19021; -0.34393; -0.23584; -0.19798; -0.24179; -0.23957; -0.34645; -0.26524; -0.36689; -0.30754; -0.21796; -0.30896 Ha/atom